The following is a GGA+U calculation of a relaxed structure of Co3Pd3O8, from the Alexandria database.

Its density of states at the Fermi level is 8.7 states/eV/f.u. The density comes out at 6.856 g/cm³. As for the raw total energy: -78.0 eV/f.u.

Cell and atoms, written as CIF:
```
data_Co3Pd3O8
_cell_length_a 6.1506
_cell_length_b 6.1506
_cell_length_c 6.1506
_cell_angle_alpha 56.48
_cell_angle_beta 56.48
_cell_angle_gamma 56.48
_space_group_name_H-M_alt 'P 1'
_space_group_IT_number 1
loop_
_space_group_symop_operation_xyz
'x,y,z'
loop_
_atom_site_label
_atom_site_fract_x
_atom_site_fract_y
_atom_site_fract_z
_atom_site_occupancy
Co1 0.0000 0.5000 0.5000 1
Co2 0.5000 0.0000 0.5000 1
Co3 0.5000 0.5000 0.0000 1
Pd1 0.1342 0.1342 0.1342 1
Pd2 0.5000 0.5000 0.5000 1
Pd3 0.8658 0.8658 0.8658 1
O1 0.2572 0.2572 0.6990 1
O2 0.2572 0.6990 0.2572 1
O3 0.2721 0.2721 0.2721 1
O4 0.3010 0.7428 0.7428 1
O5 0.6990 0.2572 0.2572 1
O6 0.7279 0.7279 0.7279 1
O7 0.7428 0.3010 0.7428 1
O8 0.7428 0.7428 0.3010 1
```